Record 1
The following is a PBE calculation of a geometry-optimized MgP2Ru3 structure, from Alexandria via LeMat-Bulk.

abc: 8.150 8.150 9.086
angles: 106.65 106.65 27.31
Fractional positions:
Mg1 0.000 0.000 0.000
Mg2 0.143 0.143 0.672
Mg3 0.857 0.857 0.328
P1 0.179 0.179 0.097
P2 0.357 0.357 0.558
P3 0.465 0.465 0.219
P4 0.535 0.535 0.781
P5 0.643 0.643 0.442
P6 0.821 0.821 0.903
Ru1 0.042 0.042 0.328
Ru2 0.223 0.223 0.371
Ru3 0.318 0.318 0.067
Ru4 0.387 0.387 0.826
Ru5 0.500 0.500 0.500
Ru6 0.613 0.613 0.174
Ru7 0.682 0.682 0.933
Ru8 0.777 0.777 0.629
Ru9 0.958 0.958 0.672

- Fermi-level density of states: 0.583 states/eV/atom
- Density: 7.333 g/cm3
- Final energy: -7.13 eV per atom
- Space group: No. 12
- Total moment: 0.000 μB per formula unit
- DFT formation energy: -0.42 eV per atom

***

Record 2
The following is a PBE calculation of a geometry-optimized MgP2Ru2 structure, from Alexandria via LeMat-Bulk.

abc: 6.999 6.999 2.871
angles: 90.00 90.00 90.00
Fractional positions:
Mg1 0.000 0.000 0.000
Mg2 0.500 0.500 0.000
P1 0.145 0.355 0.000
P2 0.355 0.855 0.000
P3 0.645 0.145 0.000
P4 0.855 0.645 0.000
Ru1 0.147 0.647 0.500
Ru2 0.353 0.147 0.500
Ru3 0.647 0.853 0.500
Ru4 0.853 0.353 0.500

- Fermi-level density of states: 0.430 states/eV/atom
- Density: 6.810 g/cm3
- Final energy: -6.49 eV per atom
- Space group: No. 127
- Total moment: 0.000 μB per formula unit
- DFT formation energy: -0.29 eV per atom

***

Record 3
The following is a PBE calculation of a geometry-optimized Mg2P2Ru structure, from Alexandria via LeMat-Bulk.

abc: 6.042 6.042 4.276
angles: 90.00 90.00 90.00
Fractional positions:
Mg1 0.186 0.314 0.000
Mg2 0.314 0.814 0.000
Mg3 0.686 0.186 0.000
Mg4 0.814 0.686 0.000
P1 0.131 0.631 0.500
P2 0.369 0.131 0.500
P3 0.631 0.869 0.500
P4 0.869 0.369 0.500
Ru1 0.000 0.000 0.500
Ru2 0.500 0.500 0.500

- Fermi-level density of states: 0.214 states/eV/atom
- Density: 4.503 g/cm3
- Final energy: -5.18 eV per atom
- Space group: No. 127
- Total moment: 0.000 μB per formula unit
- DFT formation energy: -0.52 eV per atom

***

Record 4
The following is a PBE calculation of a geometry-optimized MgPRu3 structure, from Alexandria via LeMat-Bulk.

abc: 4.437 4.437 4.437
angles: 90.00 90.00 90.00
Fractional positions:
Mg1 0.000 0.000 0.000
P1 0.500 0.500 0.500
Ru1 0.000 0.000 0.500
Ru2 0.000 0.500 0.000
Ru3 0.500 0.000 0.000

- Energy above the lowest structure with this stoichiometry: 9.10 eV per formula unit
- Fermi-level density of states: 1.290 states/eV/atom
- Density: 6.813 g/cm3
- Final energy: -5.06 eV per atom
- Space group: No. 221
- Total moment: 0.763 μB per formula unit
- DFT formation energy: 1.91 eV per atom

***

Record 5
The following is a PBE calculation of a geometry-optimized MgPRu2 structure, from Alexandria via LeMat-Bulk.

abc: 4.759 4.759 4.427
angles: 108.52 108.52 36.11
Fractional positions:
Mg1 0.000 0.000 0.000
P1 0.769 0.769 0.338
Ru1 0.248 0.248 0.878
Ru2 0.501 0.501 0.486

- Fermi-level density of states: 0.713 states/eV/atom
- Density: 7.674 g/cm3
- Final energy: -6.54 eV per atom
- Space group: No. 8
- Total moment: 0.000 μB per formula unit
- DFT formation energy: -0.15 eV per atom

***

Record 6
The following is a PBE calculation of a geometry-optimized MgPRu2 structure, from Alexandria via LeMat-Bulk.

abc: 4.735 4.735 4.706
angles: 111.07 111.07 36.36
Fractional positions:
Mg1 0.000 0.000 0.000
P1 0.500 0.500 0.500
Ru1 0.212 0.212 0.707
Ru2 0.788 0.788 0.293

- Fermi-level density of states: 0.576 states/eV/atom
- Density: 7.383 g/cm3
- Final energy: -6.59 eV per atom
- Space group: No. 12
- Total moment: 0.000 μB per formula unit
- DFT formation energy: -0.20 eV per atom

***

Record 7
The following is a PBE calculation of a geometry-optimized Mg4P2Ru5 structure, from Alexandria via LeMat-Bulk.

abc: 8.970 12.035 3.097
angles: 90.00 90.00 90.00
Fractional positions:
Mg1 0.015 0.130 0.000
Mg2 0.145 0.345 0.000
Mg3 0.355 0.845 0.000
Mg4 0.485 0.630 0.000
Mg5 0.515 0.370 0.000
Mg6 0.645 0.155 0.000
Mg7 0.855 0.655 0.000
Mg8 0.985 0.870 0.000
P1 0.176 0.579 0.000
P2 0.324 0.079 0.000
P3 0.676 0.921 0.000
P4 0.824 0.421 0.000
Ru1 0.000 0.500 0.500
Ru2 0.157 0.718 0.500
Ru3 0.180 0.987 0.500
Ru4 0.320 0.487 0.500
Ru5 0.343 0.218 0.500
Ru6 0.500 0.000 0.500
Ru7 0.657 0.782 0.500
Ru8 0.680 0.513 0.500
Ru9 0.820 0.013 0.500
Ru10 0.843 0.282 0.500

- Fermi-level density of states: 0.576 states/eV/atom
- Density: 6.600 g/cm3
- Final energy: -6.15 eV per atom
- Space group: No. 55
- Total moment: 0.000 μB per formula unit
- DFT formation energy: -0.37 eV per atom

***

Record 8
The following is a PBE calculation of a geometry-optimized Mg3P5Ru6 structure, from Alexandria via LeMat-Bulk.

abc: 3.794 12.473 8.998
angles: 90.00 90.00 90.00
Fractional positions:
Mg1 0.250 0.100 0.248
Mg2 0.250 0.400 0.248
Mg3 0.250 0.750 0.240
Mg4 0.750 0.250 0.760
Mg5 0.750 0.600 0.752
Mg6 0.750 0.900 0.752
P1 0.250 0.076 0.647
P2 0.250 0.424 0.647
P3 0.250 0.629 0.984
P4 0.250 0.750 0.619
P5 0.250 0.871 0.984
P6 0.750 0.129 0.016
P7 0.750 0.250 0.381
P8 0.750 0.371 0.016
P9 0.750 0.576 0.353
P10 0.750 0.924 0.353
Ru1 0.250 0.046 0.898
Ru2 0.250 0.250 0.005
Ru3 0.250 0.250 0.526
Ru4 0.250 0.454 0.898
Ru5 0.250 0.583 0.501
Ru6 0.250 0.917 0.501
Ru7 0.750 0.083 0.499
Ru8 0.750 0.417 0.499
Ru9 0.750 0.546 0.102
Ru10 0.750 0.750 0.474
Ru11 0.750 0.750 0.995
Ru12 0.750 0.954 0.102

- Fermi-level density of states: 0.408 states/eV/atom
- Density: 6.506 g/cm3
- Final energy: -6.81 eV per atom
- Space group: No. 59
- Total moment: 0.000 μB per formula unit
- DFT formation energy: -0.56 eV per atom

***

Record 9
The following is a PBE calculation of a geometry-optimized MgP2RuS structure, from Alexandria via LeMat-Bulk.

abc: 4.413 4.413 5.357
angles: 90.00 90.00 90.00
Fractional positions:
Mg1 0.000 0.000 0.000
P1 0.000 0.500 0.500
P2 0.500 0.000 0.500
Ru1 0.500 0.500 0.500
S1 0.500 0.500 0.000

- Formation energy from raw total energies: 228 meV/atom
- Energy above the lowest structure with this stoichiometry: 0.00 eV per formula unit
- Fermi-level density of states: 0.660 states/eV/atom
- Density: 3.493 g/cm3
- Final energy: -4.94 eV per atom
- Space group: No. 123
- Total moment: 0.000 μB per formula unit

***

Record 10
The following is a PBE calculation of a geometry-optimized MgP2RuS structure, from Alexandria via LeMat-Bulk.

abc: 4.710 4.710 4.606
angles: 90.00 90.00 90.00
Fractional positions:
Mg1 0.000 0.000 0.000
P1 0.000 0.500 0.000
P2 0.500 0.000 0.000
Ru1 0.500 0.500 0.500
S1 0.000 0.000 0.500

- Formation energy from raw total energies: 1274 meV/atom
- Energy above the lowest structure with this stoichiometry: 5.23 eV per formula unit
- Fermi-level density of states: 1.196 states/eV/atom
- Density: 3.566 g/cm3
- Final energy: -3.89 eV per atom
- Space group: No. 123
- Total moment: 1.918 μB per formula unit

***

Record 11
The following is a PBE calculation of a geometry-optimized MgPRuS2 structure, from Alexandria via LeMat-Bulk.

abc: 4.852 4.852 4.339
angles: 90.00 90.00 90.00
Fractional positions:
Mg1 0.000 0.000 0.000
P1 0.500 0.500 0.000
Ru1 0.500 0.500 0.500
S1 0.000 0.500 0.500
S2 0.500 0.000 0.500

- Formation energy from raw total energies: 198 meV/atom
- Energy above the lowest structure with this stoichiometry: 0.00 eV per formula unit
- Fermi-level density of states: 1.090 states/eV/atom
- Density: 3.583 g/cm3
- Final energy: -4.71 eV per atom
- Space group: No. 123
- Total moment: 0.002 μB per formula unit

***

Record 12
The following is a PBE calculation of a geometry-optimized MgPRuS2 structure, from Alexandria via LeMat-Bulk.

abc: 4.653 4.653 4.779
angles: 90.00 90.00 90.00
Fractional positions:
Mg1 0.000 0.000 0.000
P1 0.000 0.000 0.500
Ru1 0.500 0.500 0.500
S1 0.000 0.500 0.000
S2 0.500 0.000 0.000

- Formation energy from raw total energies: 1057 meV/atom
- Energy above the lowest structure with this stoichiometry: 4.29 eV per formula unit
- Fermi-level density of states: 1.322 states/eV/atom
- Density: 3.539 g/cm3
- Final energy: -3.85 eV per atom
- Space group: No. 123
- Total moment: 2.033 μB per formula unit